Material: NiSnRh3
Method: DFT, PBE
State: relaxed

Magnetization, μB per formula unit: 1.770
Energy relative to the elements, eV per atom: 0.724

Cell: 4.4938 4.4938 4.4938 Å, 90.00 90.00 90.00°
Each line ends with the local moment (μB).
Fractional positions:
Rh  0.0000  0.0000  0.5000  0.63
Ni  0.0000  0.0000  0.0000  0.79
Rh  0.0000  0.5000  0.0000  0.26
Sn  0.5000  0.5000  0.5000  -0.03
Rh  0.5000  0.0000  0.0000  0.14